# U4Sb2N

A relaxed structure of U4Sb2N (PBE, the Alexandria database).

Calculated values
* space-group type: I4/mmm (139)
* density: 12.14 g/cm³
* E_tot: -64.4 eV/cell
* volume: 165.47 Å³/cell

a = 4.584 Å, b = 4.584 Å, c = 8.517 Å
α = 74.39°, β = 74.39°, γ = 90.00°
Each line ends with the local moment (μB).
Atoms (fractional coordinates):
Sb (0.646, 0.646, 0.708)  -0.05
Sb (0.354, 0.354, 0.292)  -0.05
U (0.849, 0.849, 0.303)  2.32
U (0.151, 0.151, 0.697)  2.32
U (0.000, 0.500, 0.000)  1.32
U (0.500, 0.000, 0.000)  1.32
N (0.000, 0.000, 0.000)  -0.07